Below is LiGe2WO8 after structural relaxation, with properties calculated at the GGA+U level.

Computed properties:
* total energy: -0.4742 Ry/atom
* ρ: 6.135 g/cm3
* crystal system: orthorhombic
* SG: Cmmm, No. 65

Cell: 4.6201 4.6184 5.8883 Å, 90.00 90.00 88.67°
Each line ends with the local moment (μB).
Sites, in units of the cell vectors:
O (0.2064, 0.7932, 0.2331)  0.05
O (0.6879, 0.6885, 0.5000)  0.25
O (0.3120, 0.3115, 0.5000)  0.25
O (0.7936, 0.2068, 0.2331)  0.05
O (0.7936, 0.2068, 0.7669)  0.05
O (0.2064, 0.7932, 0.7669)  0.05
O (0.6934, 0.6938, 0.0000)  0.03
O (0.3066, 0.3062, 0.0000)  0.03
Ge (0.5000, 0.5000, 0.7414)  -0.01
Ge (0.5000, 0.5000, 0.2586)  -0.01
W (0.0000, 0.0000, 0.0000)  -0.03
Li (0.0000, 0.0000, 0.5000)  0.00